Below is a crystal of Pr3BBr3 relaxed with PBEsol, with properties calculated at the meta-GGA SCAN level.

The space group is I4_132 (No. 214) and the conventional cell measures 11.569, 11.569 and 11.569 Å, with angles of 90.00, 90.00 and 90.00 degrees. The distinct sites, in fractional coordinates, are Pr at (0.109, 0.359, 0.125), B at (0.125, 0.125, 0.125) and Br at (0.116, 0.134, 0.625).

The density of states at the Fermi level is 0.331 states/eV/atom. The value obtained for the volume is 193.5 Å³/f.u. Its formation energy (no corrections) is -138 kJ/mol of atoms. The value obtained for the total energy is -29.404 eV per atom. For the spin magnetization, the calculation gives 0.0 μB per cell.